Tl2VF5 | PBE+U | optimized geometry

- DOS(E_F): 0.000 states/eV/f.u.
- Volume: 18.1 A^3/atom
- Space-group type: Cc, No. 9
- E_tot: -0.1866 hartree per atom
- Mass density: 6.362 g/cm³

Lattice parameters (Å, degrees): 7.5856 7.5856 7.8956 119.27 119.27 49.10
Closest atoms and distances in Å follow each position.
Element x y z (fractional)
Tl: 0.0030 0.9970 0.5000  5 F 2.68-2.95
Tl: 0.6693 0.6792 0.5368  5 F 2.68-2.95
Tl: 0.6792 0.6693 0.0368  5 F 2.68-2.95
Tl: 0.9970 0.0030 0.0000  5 F 2.68-2.95
V: 0.3370 0.3378 0.5190  6 F 1.95-2.08
V: 0.3378 0.3370 0.0190  6 F 1.95-2.08
F: 0.0030 0.5690 0.4034  1 V 1.95
F: 0.0811 0.2749 0.8935  1 V 1.96
F: 0.1067 0.6709 0.1348  1 V 1.95
F: 0.2349 0.4399 0.7691  2 V 2.08
F: 0.2749 0.0811 0.3935  1 V 1.96
F: 0.3987 0.5946 0.6442  1 V 1.96
F: 0.4399 0.2349 0.2691  2 V 2.08
F: 0.5690 0.0030 0.9034  1 V 1.95
F: 0.5946 0.3987 0.1442  1 V 1.96
F: 0.6709 0.1067 0.6348  1 V 1.95